Entry 1:
VASP calculation (PBE) on a relaxed NdPaPd crystal.

Lattice parameters (Å, degrees): 3.6702 3.6702 6.3012 106.93 106.93 90.00
Last column: nearest neighbours and their distance in Å.
Element x y z (fractional)
Pd (0.6956, 0.6956, 0.3911)  4 Pa 2.86
Pa (0.3008, 0.3008, 0.6016)  4 Pd 2.86
Nd (0.0036, 0.0036, 0.0072)  5 Pd 3.41-3.54, 5 Pa 3.41-3.49, 4 Nd 3.67

formation energy = -0.254 eV per atom
total moment = 0.00 μB/f.u.
total DFT energy (no corrections) = -6.740 eV/atom
DOS(E_F) = 3.54 states/eV/cell

Entry 2:
VASP calculation (PBE) on a relaxed Li2SeO4 crystal.

Lattice parameters (Å, degrees): 8.8104 8.8104 8.8104 107.86 107.86 107.86
Last column: nearest neighbours and their distance in Å.
Element x y z (fractional)
O (0.1385, 0.4661, 0.1473)  1 Se 1.67
O (0.9000, 0.1860, 0.2342)  1 Se 1.68
O (0.4661, 0.1473, 0.1385)  1 Se 1.67
O (0.2342, 0.9000, 0.1860)  1 Se 1.68
O (0.7658, 0.1000, 0.8140)  1 Se 1.68
O (0.4723, 0.8101, 0.5263)  1 Se 1.67
O (0.8140, 0.7658, 0.1000)  1 Se 1.68
O (0.8527, 0.8615, 0.5339)  1 Se 1.67
O (0.1860, 0.2342, 0.9000)  1 Se 1.68
O (0.8615, 0.5339, 0.8527)  1 Se 1.67
O (0.1473, 0.1385, 0.4661)  1 Se 1.67
O (0.7488, 0.4328, 0.0752)  1 Se 1.67
O (0.0752, 0.7488, 0.4328)  1 Se 1.67
O (0.1899, 0.4737, 0.5277)  1 Se 1.67
O (0.1000, 0.8140, 0.7658)  1 Se 1.68
O (0.4737, 0.5277, 0.1899)  1 Se 1.67
O (0.2512, 0.5672, 0.9248)  1 Se 1.67
O (0.4328, 0.0752, 0.7488)  1 Se 1.67
O (0.5263, 0.4723, 0.8101)  1 Se 1.67
O (0.5339, 0.8527, 0.8615)  1 Se 1.67
O (0.8101, 0.5263, 0.4723)  1 Se 1.67
O (0.5672, 0.9248, 0.2512)  1 Se 1.67
O (0.5277, 0.1899, 0.4737)  1 Se 1.67
O (0.9248, 0.2512, 0.5672)  1 Se 1.67
Se (0.7362, 0.5519, 0.9601)  4 O 1.67-1.68
Se (0.4481, 0.0399, 0.2638)  4 O 1.67-1.68
Se (0.0399, 0.2638, 0.4481)  4 O 1.67-1.68
Se (0.5519, 0.9601, 0.7362)  4 O 1.67-1.68
Se (0.2638, 0.4481, 0.0399)  4 O 1.67-1.68
Se (0.9601, 0.7362, 0.5519)  4 O 1.67-1.68
Li (0.0643, 0.8919, 0.2959)  4 O 1.96-2.02
Li (0.5995, 0.7785, 0.3780)  4 O 1.98-2.00
Li (0.7785, 0.3780, 0.5995)  4 O 1.98-2.00
Li (0.9357, 0.1081, 0.7041)  4 O 1.96-2.02
Li (0.7041, 0.9357, 0.1081)  4 O 1.96-2.02
Li (0.2959, 0.0643, 0.8919)  4 O 1.96-2.02
Li (0.1081, 0.7041, 0.9357)  4 O 1.96-2.02
Li (0.8919, 0.2959, 0.0643)  4 O 1.96-2.02
Li (0.4005, 0.2215, 0.6220)  4 O 1.98-2.00
Li (0.6220, 0.4005, 0.2215)  4 O 1.98-2.00
Li (0.2215, 0.6220, 0.4005)  4 O 1.98-2.00
Li (0.3780, 0.5995, 0.7785)  4 O 1.98-2.00

ΔE_f (raw) = -1.4477 eV/atom
total moment = 0.00 μB/f.u.
total DFT energy (no corrections) = -5.326 eV/atom
DOS(E_F) = 0.00 states/eV/cell